Entry 1:
Computed, not measured: a relaxed structure of Ti2CrRu at the PBE level of DFT.

abc: 6.780 6.780 5.522
angles: 52.13 52.13 90.00
Each line ends with the local moment (μB).
Fractional coordinates of all 8 atoms:
Ti  0.113  0.625  0.250  -0.30
Ti  0.637  0.125  0.250  -0.29
Ti  0.375  0.363  0.750  -0.28
Ti  0.875  0.887  0.750  -0.30
Cr  0.500  0.500  0.000  2.25
Cr  0.250  0.750  0.500  2.25
Ru  0.750  0.250  0.500  0.20
Ru  0.000  0.000  0.000  0.19

Computed properties:
Total magnetic moment, μB/atom: 0.476
Space group: No. 122

---

Entry 2:
Computed, not measured: a relaxed structure of TiCrRu at the PBE level of DFT.

abc: 2.916 2.916 10.872
angles: 97.71 97.71 90.00
Fractional coordinates of all 6 atoms:
Cr  0.722  0.722  0.443
Cr  0.278  0.278  0.557
Ru  0.857  0.857  0.713
Ru  0.143  0.143  0.287
Ti  0.430  0.430  0.860
Ti  0.570  0.570  0.140

Computed properties:
Total magnetic moment, μB/atom: 0.000
Space group: No. 139

---

Entry 3:
Computed, not measured: a relaxed structure of Ti2CrRu2 at the PBE level of DFT.

abc: 7.181 7.181 3.040
angles: 90.00 90.00 90.00
Each line ends with the local moment (μB).
Fractional coordinates of all 10 atoms:
Ti  0.844  0.344  0.500  0.06
Ti  0.656  0.844  0.500  0.05
Ti  0.156  0.656  0.500  0.06
Ti  0.344  0.156  0.500  0.05
Ru  0.643  0.143  0.000  0.05
Ru  0.143  0.357  0.000  0.06
Ru  0.857  0.643  0.000  0.06
Ru  0.357  0.857  0.000  0.05
Cr  0.500  0.500  0.000  3.31
Cr  0.000  0.000  0.000  3.32

Computed properties:
Total magnetic moment, μB/atom: 0.787
Space group: No. 127

---

Entry 4:
Computed, not measured: a relaxed structure of TiCrRu2 at the PBE level of DFT.

abc: 3.028 4.306 4.306
angles: 90.00 90.00 90.00
Each line ends with the local moment (μB).
Fractional coordinates of all 4 atoms:
Ti  0.500  0.500  0.500  -0.04
Cr  0.500  0.000  0.000  2.16
Ru  0.000  0.000  0.500  -0.06
Ru  0.000  0.500  0.000  -0.06

Computed properties:
Total magnetic moment, μB/atom: 0.529
Space group: No. 123

---

Entry 5:
Computed, not measured: a relaxed structure of Ti4CrRu3 at the PBE level of DFT.

abc: 3.069 3.069 12.340
angles: 90.00 90.00 90.00
Each line ends with the local moment (μB).
Fractional coordinates of all 8 atoms:
Ti  0.000  0.000  0.374  -0.01
Ti  0.000  0.000  0.877  -0.14
Ti  0.000  0.000  0.626  -0.01
Ti  0.000  0.000  0.123  -0.14
Ru  0.500  0.500  0.500  0.01
Ru  0.500  0.500  0.750  0.04
Ru  0.500  0.500  0.250  0.04
Cr  0.500  0.500  0.000  1.37

Computed properties:
Total magnetic moment, μB/atom: 0.149
Space group: No. 123

---

Entry 6:
Computed, not measured: a relaxed structure of TiCrRu2 at the PBE level of DFT.

abc: 6.755 6.755 5.467
angles: 51.85 51.85 90.00
Fractional coordinates of all 8 atoms:
Ru  0.664  0.125  0.250
Ru  0.875  0.914  0.750
Ru  0.375  0.336  0.750
Ru  0.086  0.625  0.250
Cr  0.750  0.250  0.500
Cr  0.000  0.000  0.000
Ti  0.500  0.500  0.000
Ti  0.250  0.750  0.500

Computed properties:
Total magnetic moment, μB/atom: 0.000
Space group: No. 122

---

Entry 7:
Computed, not measured: a relaxed structure of TiCrRu3 at the PBE level of DFT.

abc: 4.431 4.431 4.431
angles: 90.00 90.00 90.00
Each line ends with the local moment (μB).
Fractional coordinates of all 5 atoms:
Ti  0.000  0.000  0.000  -0.02
Ru  0.000  0.500  0.000  0.09
Ru  0.500  0.000  0.000  0.02
Ru  0.000  0.000  0.500  0.05
Cr  0.500  0.500  0.500  -0.07

Computed properties:
Total magnetic moment, μB/atom: 0.016
Space group: No. 221
Distance to the lowest polymorph of the same formula, eV/atom: 0.6055

---

Entry 8:
Computed, not measured: a relaxed structure of TiCr4Ru at the PBE level of DFT.

abc: 4.787 4.787 4.787
angles: 60.00 60.00 60.00
Fractional coordinates of all 6 atoms:
Ti  0.250  0.250  0.250
Ru  0.000  0.000  0.000
Cr  0.624  0.129  0.624
Cr  0.624  0.624  0.129
Cr  0.624  0.624  0.624
Cr  0.129  0.624  0.624

Computed properties:
Total magnetic moment, μB/atom: 0.000
Space group: No. 216

---

Entry 9:
Computed, not measured: a relaxed structure of Ti6CrRu5 at the PBE level of DFT.

abc: 4.339 6.146 7.529
angles: 114.09 106.75 90.00
Each line ends with the local moment (μB).
Fractional coordinates of all 12 atoms:
Ti  0.835  0.588  0.671  -0.02
Ti  0.500  0.754  0.000  -0.02
Ti  0.165  0.412  0.329  -0.02
Ti  0.835  0.083  0.671  -0.02
Ti  0.165  0.917  0.329  -0.02
Ti  0.500  0.246  0.000  -0.02
Ru  0.333  0.333  0.667  0.01
Ru  0.333  0.833  0.666  0.01
Ru  0.667  0.167  0.334  0.01
Ru  0.667  0.667  0.333  0.01
Ru  0.000  0.500  0.000  0.01
Cr  0.000  0.000  0.000  0.23

Computed properties:
Total magnetic moment, μB/atom: 0.015
Space group: No. 71

---

Entry 10:
Computed, not measured: a relaxed structure of TiZnCrRu at the PBE level of DFT.

abc: 4.321 4.321 4.321
angles: 60.00 60.00 60.00
Each line ends with the local moment (μB).
Fractional coordinates of all 4 atoms:
Cr  0.750  0.750  0.750  2.76
Ru  0.250  0.250  0.250  0.09
Zn  0.500  0.500  0.500  0.00
Ti  0.000  0.000  0.000  -0.13

Computed properties:
Total magnetic moment, μB/atom: 0.730
Space group: No. 216

---

Entry 11:
Computed, not measured: a relaxed structure of ZrTiCrRu at the PBE level of DFT.

abc: 4.492 4.492 4.492
angles: 60.00 60.00 60.00
Each line ends with the local moment (μB).
Fractional coordinates of all 4 atoms:
Ti  0.250  0.250  0.250  -0.33
Zr  0.750  0.750  0.750  -0.09
Cr  0.000  0.000  0.000  1.74
Ru  0.500  0.500  0.500  0.12

Computed properties:
Total magnetic moment, μB/atom: 0.373
Space group: No. 216

---

Entry 12:
Computed, not measured: a relaxed structure of TlCr2Ru at the PBE level of DFT.

abc: 2.951 2.951 7.531
angles: 90.00 90.00 90.00
Each line ends with the local moment (μB).
Fractional coordinates of all 4 atoms:
Ru  0.500  0.500  0.250  -0.50
Tl  0.500  0.500  0.750  -0.09
Cr  0.000  0.000  0.040  2.73
Cr  0.000  0.000  0.460  2.73

Computed properties:
Total magnetic moment, μB/atom: 1.308
Space group: No. 123
Distance to the lowest polymorph of the same formula, eV/atom: 0.0756

---

Number 1: E -8.404 eV per atom, D(E_F) 4.10 states/eV/f.u.. Number 2: E -8.906 eV per atom, D(E_F) 3.52 states/eV/f.u.. Number 3: E -8.899 eV per atom, D(E_F) 5.68 states/eV/f.u.. Number 4: E -9.307 eV per atom, D(E_F) 5.03 states/eV/f.u.. Number 5: E -9.206 eV per atom, D(E_F) 4.22 states/eV/f.u.. Number 6: E -8.698 eV per atom, D(E_F) 2.69 states/eV/f.u.. Number 7: E -7.613 eV per atom, D(E_F) 12.07 states/eV/f.u.. Number 8: E -9.276 eV per atom, D(E_F) 10.82 states/eV/f.u.. Number 9: E -9.255 eV per atom, D(E_F) 7.46 states/eV/f.u.. Number 10: E -7.159 eV per atom, D(E_F) 5.62 states/eV/f.u.. Number 11: E -9.079 eV per atom, D(E_F) 4.03 states/eV/f.u.. Number 12: E -7.246 eV per atom, D(E_F) 2.91 states/eV/f.u..